First-principles (PBE) data for a geometry-optimized Cs4Pr3ScS8 structure, as listed in Alexandria.

Calculated values
The raw formation energy comes out at -169.0 kJ/mol of atoms. The calculation puts the density of states at the Fermi level at 0.00 states/eV per cell.

Geometry as CIF:
```
data_Cs4Pr3ScS8
_chemical_formula_sum 'Cs12 Pr9 Sc3 S24'
_space_group_name_H-M_alt 'R -3 m'
_space_group_IT_number 166
_space_group_name_Hall '-R 3 2"'
_cell_length_a 8.3851
_cell_length_b 8.3851
_cell_length_c 24.2501
_cell_angle_alpha 90.00
_cell_angle_beta 90.00
_cell_angle_gamma 120.00
loop_
_atom_site_label
_atom_site_type_symbol
_atom_site_fract_x
_atom_site_fract_y
_atom_site_fract_z
Cs1 Cs 0.0000 0.0000 0.0000
Cs2 Cs 0.0000 0.5000 0.0000
Pr1 Pr 0.0000 0.5000 0.5000
Sc1 Sc 0.0000 0.0000 0.5000
S1 S 0.0000 0.0000 0.2302
S2 S 0.0195 0.5098 0.2272
```

=====

First-principles (PBE) data for a geometry-optimized Cs3PrSc2S6 structure, as listed in Alexandria.

Calculated values
The raw formation energy comes out at -164.3 kJ/mol of atoms. The calculation puts the density of states at the Fermi level at 0.00 states/eV per cell.

Geometry as CIF:
```
data_Cs3PrSc2S6
_chemical_formula_sum 'Cs6 Pr2 Sc4 S12'
_space_group_name_H-M_alt 'C 1 2/m 1'
_space_group_IT_number 12
_cell_length_a 6.9839
_cell_length_b 12.0921
_cell_length_c 8.3539
_cell_angle_alpha 90.00
_cell_angle_beta 106.21
_cell_angle_gamma 90.00
loop_
_space_group_symop_operation_xyz
'x,y,z'
'-x,-y,-z'
'-x,y,-z'
'x,-y,z'
'x+1/2,y+1/2,z'
'-x+1/2,-y+1/2,-z'
'-x+1/2,y+1/2,-z'
'x+1/2,-y+1/2,z'
loop_
_atom_site_label
_atom_site_type_symbol
_atom_site_fract_x
_atom_site_fract_y
_atom_site_fract_z
Cs1 Cs 0.0000 0.0000 0.0000
Cs2 Cs 0.0000 0.3364 0.0000
Pr1 Pr 0.0000 0.5000 0.5000
Sc1 Sc 0.0000 0.1668 0.5000
S1 S 0.2031 0.0000 0.6766
S2 S 0.2373 0.3220 0.6781
```

=====

First-principles (PBE) data for a geometry-optimized Cs2PrSi2S6 structure, as listed in Alexandria.

Calculated values
The raw formation energy comes out at -104.3 kJ/mol of atoms. The calculation puts the density of states at the Fermi level at 5.06 states/eV per cell.

Geometry as CIF:
```
data_Cs2PrSi2S6
_chemical_formula_sum 'Cs4 Pr2 Si4 S12'
_space_group_name_H-M_alt 'C 1 2/m 1'
_space_group_IT_number 12
_cell_length_a 12.7691
_cell_length_b 7.3715
_cell_length_c 8.1892
_cell_angle_alpha 90.00
_cell_angle_beta 122.05
_cell_angle_gamma 90.00
loop_
_space_group_symop_operation_xyz
'x,y,z'
'-x,-y,-z'
'-x,y,-z'
'x,-y,z'
'x+1/2,y+1/2,z'
'-x+1/2,-y+1/2,-z'
'-x+1/2,y+1/2,-z'
'x+1/2,-y+1/2,z'
loop_
_atom_site_label
_atom_site_type_symbol
_atom_site_fract_x
_atom_site_fract_y
_atom_site_fract_z
Cs1 Cs 0.2236 0.0000 0.2113
Pr1 Pr 0.0000 0.0000 0.5000
Si1 Si 0.0490 0.5000 0.1886
S1 S 0.0258 0.2603 0.7774
S2 S 0.2399 0.5000 0.3044
```

=====

First-principles (PBE) data for a geometry-optimized CsPrSm4S8 structure, as listed in Alexandria.

Calculated values
The raw formation energy comes out at -179.1 kJ/mol of atoms. The calculation puts the density of states at the Fermi level at 0.00 states/eV per cell.

Geometry as CIF:
```
data_CsPrSm4S8
_chemical_formula_sum 'Cs3 Pr3 Sm12 S24'
_space_group_name_H-M_alt 'R 3 m'
_space_group_IT_number 160
_space_group_name_Hall 'R 3 -2"'
_cell_length_a 8.4891
_cell_length_b 8.4891
_cell_length_c 21.1504
_cell_angle_alpha 90.00
_cell_angle_beta 90.00
_cell_angle_gamma 120.00
loop_
_atom_site_label
_atom_site_type_symbol
_atom_site_fract_x
_atom_site_fract_y
_atom_site_fract_z
Cs1 Cs 0.0000 0.0000 0.0000
Pr1 Pr 0.0000 0.0000 0.3665
Sm1 Sm 0.0000 0.0000 0.7457
Sm2 Sm 0.0105 0.5052 0.8727
S1 S 0.0000 0.0000 0.1437
S2 S 0.0000 0.0000 0.6146
S3 S 0.0163 0.5082 0.1239
S4 S 0.1928 0.3856 0.9453
```

=====

First-principles (PBE) data for a geometry-optimized Cs3Pr2SmS6 structure, as listed in Alexandria.

Calculated values
The raw formation energy comes out at -174.5 kJ/mol of atoms. The calculation puts the density of states at the Fermi level at 0.00 states/eV per cell.

Geometry as CIF:
```
data_Cs3Pr2SmS6
_chemical_formula_sum 'Cs6 Pr4 Sm2 S12'
_space_group_name_H-M_alt 'C 1 2/m 1'
_space_group_IT_number 12
_cell_length_a 7.3720
_cell_length_b 12.7682
_cell_length_c 8.4670
_cell_angle_alpha 90.00
_cell_angle_beta 106.87
_cell_angle_gamma 90.00
loop_
_space_group_symop_operation_xyz
'x,y,z'
'-x,-y,-z'
'-x,y,-z'
'x,-y,z'
'x+1/2,y+1/2,z'
'-x+1/2,-y+1/2,-z'
'-x+1/2,y+1/2,-z'
'x+1/2,-y+1/2,z'
loop_
_atom_site_label
_atom_site_type_symbol
_atom_site_fract_x
_atom_site_fract_y
_atom_site_fract_z
Cs1 Cs 0.0000 0.0000 0.0000
Cs2 Cs 0.0000 0.3326 0.0000
Pr1 Pr 0.0000 0.1666 0.5000
Sm1 Sm 0.0000 0.5000 0.5000
S1 S 0.2264 0.3357 0.6865
S2 S 0.2338 0.0000 0.6869
```

=====

First-principles (PBE) data for a geometry-optimized Cs3Pr3SnS8 structure, as listed in Alexandria.

Calculated values
The raw formation energy comes out at -144.4 kJ/mol of atoms.

Geometry as CIF:
```
data_Cs3Pr3SnS8
_chemical_formula_sum 'Cs9 Pr9 Sn3 S24'
_space_group_name_H-M_alt 'R -3 m'
_space_group_IT_number 166
_space_group_name_Hall '-R 3 2"'
_cell_length_a 8.3367
_cell_length_b 8.3367
_cell_length_c 24.8168
_cell_angle_alpha 90.00
_cell_angle_beta 90.00
_cell_angle_gamma 120.00
loop_
_atom_site_label
_atom_site_type_symbol
_atom_site_fract_x
_atom_site_fract_y
_atom_site_fract_z
Cs1 Cs 0.0000 0.5000 0.0000
Pr1 Pr 0.0000 0.5000 0.5000
Sn1 Sn 0.0000 0.0000 0.5000
S1 S 0.0000 0.0000 0.2287
S2 S 0.0262 0.5131 0.2259
```

=====

First-principles (PBE) data for a geometry-optimized CsTb4PrS8 structure, as listed in Alexandria.

Calculated values
The raw formation energy comes out at -179.5 kJ/mol of atoms. The calculation puts the density of states at the Fermi level at 0.00 states/eV per cell.

Geometry as CIF:
```
data_CsTb4PrS8
_chemical_formula_sum 'Cs3 Tb12 Pr3 S24'
_space_group_name_H-M_alt 'R 3 m'
_space_group_IT_number 160
_space_group_name_Hall 'R 3 -2"'
_cell_length_a 8.3408
_cell_length_b 8.3408
_cell_length_c 21.0897
_cell_angle_alpha 90.00
_cell_angle_beta 90.00
_cell_angle_gamma 120.00
loop_
_atom_site_label
_atom_site_type_symbol
_atom_site_fract_x
_atom_site_fract_y
_atom_site_fract_z
Cs1 Cs 0.0000 0.0000 0.0000
Tb1 Tb 0.0000 0.0000 0.7425
Tb2 Tb 0.0104 0.5052 0.8699
Pr1 Pr 0.0000 0.0000 0.3628
S1 S 0.0000 0.0000 0.1422
S2 S 0.0000 0.0000 0.6118
S3 S 0.0144 0.5072 0.1214
S4 S 0.1915 0.3830 0.9404
```

=====

First-principles (PBE) data for a geometry-optimized Cs3Tb2PrS6 structure, as listed in Alexandria.

Calculated values
The raw formation energy comes out at -175.7 kJ/mol of atoms. The calculation puts the density of states at the Fermi level at 0.00 states/eV per cell.

Geometry as CIF:
```
data_Cs3Tb2PrS6
_chemical_formula_sum 'Cs6 Tb4 Pr2 S12'
_space_group_name_H-M_alt 'C 1 2/m 1'
_space_group_IT_number 12
_cell_length_a 7.2385
_cell_length_b 12.5373
_cell_length_c 8.4375
_cell_angle_alpha 90.00
_cell_angle_beta 106.62
_cell_angle_gamma 90.00
loop_
_space_group_symop_operation_xyz
'x,y,z'
'-x,-y,-z'
'-x,y,-z'
'x,-y,z'
'x+1/2,y+1/2,z'
'-x+1/2,-y+1/2,-z'
'-x+1/2,y+1/2,-z'
'x+1/2,-y+1/2,z'
loop_
_atom_site_label
_atom_site_type_symbol
_atom_site_fract_x
_atom_site_fract_y
_atom_site_fract_z
Cs1 Cs 0.0000 0.0000 0.0000
Cs2 Cs 0.0000 0.3344 0.0000
Tb1 Tb 0.0000 0.1667 0.5000
Pr1 Pr 0.0000 0.5000 0.5000
S1 S 0.2188 0.0000 0.6836
S2 S 0.2326 0.3288 0.6841
```

=====

First-principles (PBE) data for a geometry-optimized Cs3Pr3TcS8 structure, as listed in Alexandria.

Calculated values
The raw formation energy comes out at -138.6 kJ/mol of atoms.

Geometry as CIF:
```
data_Cs3Pr3TcS8
_chemical_formula_sum 'Cs9 Pr9 Tc3 S24'
_space_group_name_H-M_alt 'R -3 m'
_space_group_IT_number 166
_space_group_name_Hall '-R 3 2"'
_cell_length_a 8.2212
_cell_length_b 8.2212
_cell_length_c 24.7001
_cell_angle_alpha 90.00
_cell_angle_beta 90.00
_cell_angle_gamma 120.00
loop_
_atom_site_label
_atom_site_type_symbol
_atom_site_fract_x
_atom_site_fract_y
_atom_site_fract_z
Cs1 Cs 0.0000 0.5000 0.0000
Pr1 Pr 0.0000 0.5000 0.5000
Tc1 Tc 0.0000 0.0000 0.5000
S1 S 0.0000 0.0000 0.2299
S2 S 0.0393 0.5196 0.2238
```